VASP calculation (PBE) on an optimized crystal structure of Li2PuInO4.

## Properties
The calculation puts the spin magnetization at 4.58 μB/f.u. For the formation energy from raw total energies, the calculation gives -2.058 eV/atom.

abc: 4.5039 4.5041 5.9462
angles: 112.25 112.25 90.00
Fractional coordinates of all 8 atoms:
1 O 0.2648 0.2649 0.5297
2 O 0.5082 0.0081 0.0164
3 O 0.7352 0.7353 0.4704
4 Li 0.2500 0.7503 0.5001
5 In 0.7500 0.2500 0.5000
6 Pu 0.5000 0.4999 0.0000
7 O 0.9918 0.4920 0.9836
8 Li 0.9999 0.9996 0.9999